# MnBeV3

Crystalline MnBeV3 at its relaxed geometry (GGA-PBE, Alexandria via LeMat-Bulk).

Computed properties:
- DFT formation energy: 0.95 eV/atom
- Final energy: -7.100 eV/atom
- SG: Pm-3m, No. 221
- Total magnetization: 0.00 μB per atom
- N(E_F): 5.19 states/eV/f.u.
- Energy above the lowest structure with this stoichiometry: 1.13 eV/f.u.

Cell: 4.252 4.252 4.252 Å, 90.00 90.00 90.00°
Fractional coordinates of all 5 atoms:
Be  0.500  0.500  0.500
Mn  0.000  0.000  0.000
V  0.000  0.500  0.000
V  0.000  0.000  0.500
V  0.500  0.000  0.000

=====

# CaTcSbI2

Crystalline CaTcSbI2 at its relaxed geometry (GGA-PBE, Alexandria via LeMat-Bulk).

Computed properties:
- Formation energy (no corrections): 0.25 eV per formula unit
- Final energy: -3.867 eV/atom
- SG: P4/mmm, No. 123
- Total magnetization: 0.07 μB per atom
- N(E_F): 5.43 states/eV/f.u.
- Energy above the lowest structure with this stoichiometry: 0.00 eV/f.u.

Cell: 5.613 5.613 5.096 Å, 90.00 90.00 90.00°
Fractional coordinates of all 5 atoms:
I  0.000  0.500  0.000
I  0.500  0.000  0.000
Sb  0.000  0.000  0.500
Ca  0.500  0.500  0.500
Tc  0.000  0.000  0.000

=====

# NaCdAg2

Crystalline NaCdAg2 at its relaxed geometry (GGA-PBE, Alexandria via LeMat-Bulk).

Computed properties:
- DFT formation energy: 0.14 eV/atom
- Final energy: -1.842 eV/atom
- SG: I-42d, No. 122
- Total magnetization: 0.00 μB per atom
- N(E_F): 1.12 states/eV/f.u.

Cell: 4.172 4.172 10.620 Å, 78.67 78.67 90.00°
Fractional coordinates of all 8 atoms:
Na  0.500  0.500  0.000
Na  0.250  0.750  0.500
Ag  0.636  0.125  0.250
Ag  0.114  0.625  0.250
Ag  0.375  0.364  0.750
Ag  0.875  0.886  0.750
Cd  0.000  0.000  0.000
Cd  0.750  0.250  0.500

=====

# HAuS

Crystalline HAuS at its relaxed geometry (GGA-PBE, Alexandria via LeMat-Bulk).

Computed properties:
- Final energy: -3.534 eV/atom
- SG: P1, No. 1
- Total magnetization: 0.00 μB per atom
- N(E_F): 0.58 states/eV/f.u.
- Energy above the lowest structure with this stoichiometry: 0.60 eV/f.u.

Cell: 4.859 3.601 7.301 Å, 103.39 94.49 80.48°
Fractional coordinates of all 6 atoms:
H  0.195  0.363  0.078
H  0.815  0.396  0.346
S  0.927  0.025  0.350
S  0.445  0.679  0.800
Au  0.244  0.148  0.622
Au  0.191  0.864  0.076

=====

# Pr4TeRu

Crystalline Pr4TeRu at its relaxed geometry (GGA-PBE, Alexandria via LeMat-Bulk).

Computed properties:
- Formation energy (no corrections): -2.81 eV per formula unit
- Final energy: -5.724 eV/atom
- SG: C2/c, No. 15
- Total magnetization: 0.00 μB per atom
- N(E_F): 6.01 states/eV/f.u.
- Energy above the lowest structure with this stoichiometry: 0.36 eV/f.u.

Cell: 7.063 8.021 8.801 Å, 111.36 107.30 103.19°
Fractional coordinates of all 12 atoms:
Pr  0.306  0.929  0.579
Pr  0.048  0.824  0.088
Pr  0.227  0.350  0.421
Pr  0.461  0.736  0.912
Pr  0.694  0.071  0.421
Pr  0.773  0.650  0.579
Pr  0.952  0.176  0.912
Pr  0.539  0.264  0.088
Te  0.364  0.614  0.228
Te  0.636  0.386  0.772
Ru  0.831  0.081  0.162
Ru  0.169  0.919  0.838

=====

# CsSbSeN2

Crystalline CsSbSeN2 at its relaxed geometry (GGA-PBE, Alexandria via LeMat-Bulk).

Computed properties:
- Formation energy (no corrections): 10.94 eV per formula unit
- Final energy: -2.834 eV/atom
- SG: P4/mmm, No. 123
- Total magnetization: 0.00 μB per atom
- N(E_F): 4.49 states/eV/f.u.

Cell: 4.332 4.332 6.525 Å, 90.00 90.00 90.00°
Fractional coordinates of all 5 atoms:
Cs  0.000  0.000  0.000
Sb  0.500  0.500  0.500
Se  0.000  0.000  0.500
N  0.000  0.500  0.000
N  0.500  0.000  0.000

=====

# Ba3YTl

Crystalline Ba3YTl at its relaxed geometry (GGA-PBE, Alexandria via LeMat-Bulk).

Computed properties:
- DFT formation energy: 0.58 eV/atom
- Final energy: -2.345 eV/atom
- SG: Pm-3m, No. 221
- Total magnetization: 0.00 μB per atom
- N(E_F): 4.06 states/eV/f.u.
- Energy above the lowest structure with this stoichiometry: 1.21 eV/f.u.

Cell: 6.511 6.511 6.511 Å, 90.00 90.00 90.00°
Fractional coordinates of all 5 atoms:
Y  0.000  0.000  0.000
Tl  0.500  0.500  0.500
Ba  0.000  0.500  0.000
Ba  0.000  0.000  0.500
Ba  0.500  0.000  0.000

=====

# Tb3Pr2Dy5

Crystalline Tb3Pr2Dy5 at its relaxed geometry (GGA-PBE, Alexandria via LeMat-Bulk).

Computed properties:
- DFT formation energy: 0.19 eV/atom
- Final energy: -4.455 eV/atom
- SG: C2/c, No. 15
- Total magnetization: 0.00 μB per atom
- N(E_F): 17.79 states/eV/f.u.
- Energy above the lowest structure with this stoichiometry: 0.00 eV/f.u.

Cell: 9.389 9.410 11.192 Å, 124.86 124.82 68.88°
Fractional coordinates of all 20 atoms:
Tb  0.229  0.979  0.957
Tb  0.771  0.021  0.043
Tb  0.731  0.465  0.244
Tb  0.269  0.535  0.756
Tb  0.013  0.779  0.244
Tb  0.987  0.221  0.756
Pr  0.778  0.013  0.744
Pr  0.222  0.987  0.256
Pr  0.467  0.731  0.744
Pr  0.533  0.269  0.256
Dy  0.277  0.527  0.055
Dy  0.723  0.473  0.945
Dy  0.019  0.769  0.539
Dy  0.526  0.276  0.551
Dy  0.981  0.231  0.461
Dy  0.474  0.724  0.449
Dy  0.866  0.610  0.757
Dy  0.134  0.390  0.243
Dy  0.391  0.147  0.757
Dy  0.609  0.853  0.243

=====

# Ni5PtRh6

Crystalline Ni5PtRh6 at its relaxed geometry (GGA-PBE, Alexandria via LeMat-Bulk).

Computed properties:
- DFT formation energy: 0.04 eV/atom
- Final energy: -6.548 eV/atom
- SG: Cmmm, No. 65
- Total magnetization: 0.34 μB per atom
- N(E_F): 22.97 states/eV/f.u.

Cell: 8.279 3.771 5.964 Å, 71.57 81.72 62.91°
Fractional coordinates of all 12 atoms:
Ni  0.500  0.167  0.667
Ni  0.000  0.330  0.340
Ni  0.500  0.500  0.000
Ni  0.000  0.670  0.660
Ni  0.500  0.833  0.333
Pt  0.000  0.000  0.000
Rh  0.744  0.088  0.337
Rh  0.256  0.575  0.337
Rh  0.259  0.241  0.000
Rh  0.741  0.759  0.000
Rh  0.744  0.425  0.663
Rh  0.256  0.912  0.663

=====

# Tl2FeRh

Crystalline Tl2FeRh at its relaxed geometry (GGA-PBE, Alexandria via LeMat-Bulk).

Computed properties:
- DFT formation energy: 0.36 eV/atom
- Final energy: -4.774 eV/atom
- SG: R3m, No. 160
- Total magnetization: 0.95 μB per atom
- N(E_F): 2.23 states/eV/f.u.
- Energy above the lowest structure with this stoichiometry: 0.40 eV/f.u.

Cell: 9.117 9.117 9.117 Å, 20.87 20.87 20.87°
Fractional coordinates of all 4 atoms:
Fe  0.486  0.486  0.486
Rh  0.762  0.762  0.762
Tl  0.012  0.012  0.012
Tl  0.240  0.240  0.240

=====

# ZnFe2Si

Crystalline ZnFe2Si at its relaxed geometry (GGA-PBE, Alexandria via LeMat-Bulk).

Computed properties:
- Formation energy (no corrections): -0.33 eV per formula unit
- Final energy: -5.989 eV/atom
- SG: I-4m2, No. 119
- Total magnetization: 1.01 μB per atom
- N(E_F): 2.39 states/eV/f.u.

Cell: 4.542 4.542 4.542 Å, 133.75 133.75 67.48°
Fractional coordinates of all 4 atoms:
Fe  0.000  0.000  0.000
Fe  0.250  0.750  0.500
Si  0.500  0.500  0.000
Zn  0.750  0.250  0.500

=====

# Li5ScIn6

Crystalline Li5ScIn6 at its relaxed geometry (GGA-PBE, Alexandria via LeMat-Bulk).

Computed properties:
- DFT formation energy: -0.31 eV/atom
- Final energy: -3.004 eV/atom
- SG: C2/m, No. 12
- Total magnetization: 0.00 μB per atom
- N(E_F): 5.34 states/eV/f.u.

Cell: 4.793 8.379 8.379 Å, 119.28 106.67 106.67°
Fractional coordinates of all 12 atoms:
Sc  0.000  0.000  0.000
In  0.256  0.088  0.427
In  0.744  0.573  0.912
In  0.769  0.268  0.268
In  0.231  0.732  0.732
In  0.256  0.427  0.088
In  0.744  0.912  0.573
Li  0.500  0.164  0.836
Li  0.000  0.328  0.672
Li  0.500  0.500  0.500
Li  0.000  0.672  0.328
Li  0.500  0.836  0.164